(1)
The following is a DFT calculation (PBE) of an optimized crystal structure of HoTh3Sb4.

Summary:
E above lowest polymorph (eV per formula unit): 0.000
SG: P2/c

Cell: 7.7535 8.9175 7.7616 Å, 90.00 109.26 90.00°
Last column: nearest neighbours and their distance in Å.
Fractional positions:
1 Ho 0.0000 0.1240 0.2500  6 Sb 3.11-3.12
2 Ho 0.0000 0.8760 0.7500  6 Sb 3.11-3.12
3 Th 0.0000 0.3747 0.7500  6 Sb 3.16-3.17
4 Th 0.0000 0.6253 0.2500  6 Sb 3.16-3.17
5 Th 0.5000 0.1249 0.7500  6 Sb 3.16-3.21
6 Th 0.5000 0.3750 0.2500  6 Sb 3.16-3.22
7 Th 0.5000 0.6250 0.7500  6 Sb 3.16-3.22
8 Th 0.5000 0.8751 0.2500  6 Sb 3.16-3.21
9 Sb 0.2429 0.1213 0.0005  2 Ho 3.11-3.12, 4 Th 3.16-3.21
10 Sb 0.2429 0.8787 0.5005  2 Ho 3.11-3.12, 4 Th 3.16-3.21
11 Sb 0.2462 0.3707 0.4957  1 Ho 3.12, 5 Th 3.16-3.22
12 Sb 0.2462 0.6293 0.9957  1 Ho 3.12, 5 Th 3.16-3.22
13 Sb 0.7538 0.3707 0.0043  1 Ho 3.12, 5 Th 3.16-3.22
14 Sb 0.7538 0.6293 0.5043  1 Ho 3.12, 5 Th 3.16-3.22
15 Sb 0.7571 0.1213 0.4995  2 Ho 3.11-3.12, 4 Th 3.16-3.21
16 Sb 0.7571 0.8787 0.9995  2 Ho 3.11-3.12, 4 Th 3.16-3.21

(2)
The following is a DFT calculation (PBE) of an optimized crystal structure of Si2SbIr.

Summary:
Total DFT energy (no corrections) (eV/atom): -5.46
SG: Pmmm

Cell: 2.9562 4.8182 4.8232 Å, 90.00 90.00 90.00°
Last column: nearest neighbours and their distance in Å.
Fractional positions:
1 Si 0.0000 0.0000 0.0000  6 Si 2.83-2.96, 4 Ir 2.83
2 Si 0.5000 0.5000 0.0000  6 Si 2.83-2.96, 4 Sb 2.83
3 Sb 0.0000 0.5000 0.5000  4 Ir 2.83, 4 Si 2.83, 2 Sb 2.96
4 Ir 0.5000 0.0000 0.5000  4 Sb 2.83, 4 Si 2.83, 2 Ir 2.96

(3)
The following is a DFT calculation (PBE) of an optimized crystal structure of Sc4GeAs.

Summary:
SG: C2/c
DFT formation energy (eV/atom): -0.70

Cell: 7.4209 7.4209 5.7541 Å, 106.23 106.23 112.59°
Last column: nearest neighbours and their distance in Å.
Fractional positions:
1 Sc 0.0638 0.6894 0.9058  2 As 2.85-2.87, 2 Ge 2.86, 1 Sc 3.13
2 Sc 0.2356 0.3782 0.7145  2 As 2.75-2.77, 2 Ge 2.75-2.88, 1 Sc 3.00
3 Sc 0.3106 0.9362 0.5942  2 As 2.85-2.87, 2 Ge 2.86, 1 Sc 3.13
4 Sc 0.3782 0.2356 0.2145  2 As 2.75-2.77, 2 Ge 2.75-2.88, 1 Sc 3.00
5 Sc 0.6218 0.7644 0.7855  2 As 2.75-2.77, 2 Ge 2.75-2.88, 1 Sc 3.00
6 Sc 0.6894 0.0638 0.4058  2 As 2.85-2.87, 2 Ge 2.86, 1 Sc 3.13
7 Sc 0.7644 0.6218 0.2855  2 As 2.75-2.77, 2 Ge 2.75-2.88, 1 Sc 3.00
8 Sc 0.9362 0.3106 0.0942  2 As 2.85-2.87, 2 Ge 2.86, 1 Sc 3.13
9 Ge 0.3725 0.6275 0.2500  8 Sc 2.75-2.88
10 Ge 0.6275 0.3725 0.7500  8 Sc 2.75-2.88
11 As 0.0026 0.9974 0.2500  8 Sc 2.75-2.87, 2 As 2.88
12 As 0.9974 0.0026 0.7500  8 Sc 2.75-2.87, 2 As 2.88